Record 1
## EuNi2Ge2 (SCAN)

Data for a PBEsol-optimized structure of EuNi2Ge2.

It has space group I4/mmm (No. 139), with a = 4.0627 Å, b = 4.0627 Å, c = 9.9049 Å, α = 90.00°, β = 90.00° and γ = 90.00°. The distinct sites, in fractional coordinates, are Eu at (0.0000, 0.0000, 0.0000), Ni at (0.0000, 0.5000, 0.2500) and Ge at (0.0000, 0.0000, 0.3675).

For the density of states at the Fermi level, the calculation gives 14.75 states/eV/cell. Its total energy is -25.48 eV/atom. As for the formation energy: -631 meV/atom.



Record 2
## EuNiGe3 (SCAN)

Data for a PBEsol-optimized structure of EuNiGe3.

It has space group I4mm (No. 107), with a = 4.2840 Å, b = 4.2840 Å, c = 9.7227 Å, α = 90.00°, β = 90.00° and γ = 90.00°. The distinct sites, in fractional coordinates, are Eu at (0.0000, 0.0000, 0.0000), Ni at (0.0000, 0.0000, 0.3432), Ge at (0.0000, 0.0000, 0.5787) and Ge at (0.0000, 0.5000, 0.2452).

For the density of states at the Fermi level, the calculation gives 4.09 states/eV/cell. Its total energy is -26.02 eV/atom. As for the formation energy: -593 meV/atom.



Number 1: density 8.42 g/cm³. Number 2: density 7.98 g/cm³.